## TaNiBr2 (PBE)

Data for an optimized crystal structure of TaNiBr2.

Cell and atoms, written as POSCAR:
```
TaNiBr2
1.0
3.792 -0.019 -0.040
2.408 2.930 -0.040
2.112 0.992 8.621
Br Ta Ni
2 1 1
Cartesian
6.102 2.865 5.396
5.805 2.725 0.628
2.503 1.175 2.690
4.259 1.999 4.018
```

## Properties
formation energy (no corrections): -0.17 eV/atom
calculated volume: 96 Å³/cell
excess energy over the best structure of this formula in the dataset: 76 meV/atom
space group: No. 8